Entry 1:
An optimized crystal structure of NiMoIr2, computed with GGA-PBE.

Output
DFT total energy: -8.66 eV/atom
Density of states at the Fermi level: 8.69 states/eV per cell

Cell and atoms, written as CIF:
```
data_NiMoIr2
_space_group_name_H-M_alt 'C m m m'
_space_group_IT_number 65
_space_group_name_Hall '-C 2 2'
_cell_length_a 5.452
_cell_length_b 7.549
_cell_length_c 2.739
_cell_angle_alpha 90.00
_cell_angle_beta 90.00
_cell_angle_gamma 90.00
loop_
_atom_site_label
_atom_site_fract_x
_atom_site_fract_y
_atom_site_fract_z
Ni1 0.000 0.000 0.000
Mo1 0.000 0.500 0.000
Ir1 0.250 0.250 0.500
```

***

Entry 2:
An optimized crystal structure of ReNi5Rh4, computed with GGA-PBE.

Output
DFT total energy: -7.08 eV/atom
Density of states at the Fermi level: 28.82 states/eV per cell

Cell and atoms, written as CIF:
```
data_ReNi5Rh4
_space_group_name_H-M_alt 'C 1 2/m 1'
_space_group_IT_number 12
_cell_length_a 13.472
_cell_length_b 3.743
_cell_length_c 5.179
_cell_angle_alpha 90.00
_cell_angle_beta 102.60
_cell_angle_gamma 90.00
loop_
_space_group_symop_operation_xyz
'x,y,z'
'-x,-y,-z'
'-x,y,-z'
'x,-y,z'
'x+1/2,y+1/2,z'
'-x+1/2,-y+1/2,-z'
'-x+1/2,y+1/2,-z'
'x+1/2,-y+1/2,z'
loop_
_atom_site_label
_atom_site_fract_x
_atom_site_fract_y
_atom_site_fract_z
Re1 0.000 0.000 0.000
Ni1 0.000 0.000 0.500
Ni2 0.097 0.500 0.803
Ni3 0.202 0.000 0.602
Rh1 0.098 0.500 0.308
Rh2 0.200 0.000 0.100
```

***

Entry 3:
An optimized crystal structure of TiMoC2, computed with GGA-PBE.

Output
DFT total energy: -9.16 eV/atom
Density of states at the Fermi level: 9.44 states/eV per cell

Cell and atoms, written as CIF:
```
data_TiMoC2
_space_group_name_H-M_alt 'I -4 2 d'
_space_group_IT_number 122
_space_group_name_Hall 'I -4 2bw'
_cell_length_a 4.716
_cell_length_b 4.716
_cell_length_c 9.405
_cell_angle_alpha 90.00
_cell_angle_beta 90.00
_cell_angle_gamma 90.00
loop_
_atom_site_label
_atom_site_fract_x
_atom_site_fract_y
_atom_site_fract_z
Ti1 0.000 0.000 0.000
Mo1 0.000 0.000 0.500
C1 0.240 0.250 0.625
```

***

Entry 4:
An optimized crystal structure of ErMgPd6, computed with GGA-PBE.

Output
DFT total energy: -5.03 eV/atom
Density of states at the Fermi level: 9.35 states/eV per cell

Cell and atoms, written as CIF:
```
data_ErMgPd6
_space_group_name_H-M_alt 'C 1 2/m 1'
_space_group_IT_number 12
_cell_length_a 8.281
_cell_length_b 5.373
_cell_length_c 7.176
_cell_angle_alpha 90.00
_cell_angle_beta 108.53
_cell_angle_gamma 90.00
loop_
_space_group_symop_operation_xyz
'x,y,z'
'-x,-y,-z'
'-x,y,-z'
'x,-y,z'
'x+1/2,y+1/2,z'
'-x+1/2,-y+1/2,-z'
'-x+1/2,y+1/2,-z'
'x+1/2,-y+1/2,z'
loop_
_atom_site_label
_atom_site_fract_x
_atom_site_fract_y
_atom_site_fract_z
Er1 0.000 0.000 0.000
Mg1 0.000 0.500 0.500
Pd1 0.138 0.000 0.433
Pd2 0.201 0.242 0.795
```

***

Entry 5:
An optimized crystal structure of Tl2BiI6, computed with GGA-PBE.

Output
E_form (uncorrected): -0.430 eV per atom
DFT total energy: -2.42 eV/atom
Density of states at the Fermi level: 21.71 states/eV per cell

Cell and atoms, written as CIF:
```
data_Tl2BiI6
_space_group_name_H-M_alt 'P 1 21/c 1'
_space_group_IT_number 14
_cell_length_a 7.776
_cell_length_b 8.417
_cell_length_c 13.900
_cell_angle_alpha 90.00
_cell_angle_beta 121.05
_cell_angle_gamma 90.00
loop_
_space_group_symop_operation_xyz
'x,y,z'
'-x,-y,-z'
'-x,y+1/2,-z+1/2'
'x,-y+1/2,z+1/2'
loop_
_atom_site_label
_atom_site_fract_x
_atom_site_fract_y
_atom_site_fract_z
Tl1 0.175 0.100 0.231
Bi1 0.500 0.000 0.000
I1 0.123 0.197 0.946
I2 0.262 0.683 0.939
I3 0.390 0.036 0.752
```

***

Entry 6:
An optimized crystal structure of DyMgFeC, computed with GGA-PBE.

Output
DFT total energy: -5.91 eV/atom
Density of states at the Fermi level: 4.31 states/eV per cell

Cell and atoms, written as CIF:
```
data_DyMgFeC
_space_group_name_H-M_alt 'P 4/n m m'
_space_group_IT_number 129
_cell_length_a 3.591
_cell_length_b 3.591
_cell_length_c 10.298
_cell_angle_alpha 90.00
_cell_angle_beta 90.00
_cell_angle_gamma 90.00
loop_
_space_group_symop_operation_xyz
'x,y,z'
'-x,-y,-z'
'-y+1/2,x,z'
'y+1/2,-x,-z'
'-x+1/2,-y+1/2,z'
'x+1/2,y+1/2,-z'
'y,-x+1/2,z'
'-y,x+1/2,-z'
'x+1/2,-y,-z'
'-x+1/2,y,z'
'-y,-x,-z'
'y,x,z'
'-x,y+1/2,-z'
'x,-y+1/2,z'
'y+1/2,x+1/2,-z'
'-y+1/2,-x+1/2,z'
loop_
_atom_site_label
_atom_site_fract_x
_atom_site_fract_y
_atom_site_fract_z
Dy1 0.250 0.250 0.210
Mg1 0.250 0.750 0.500
Fe1 0.250 0.750 0.000
C1 0.250 0.250 0.915
```